1.
A plane-wave DFT calculation with SCAN was carried out for AlRe4Rh at its PBEsol-relaxed geometry.

**Electronic total energy**: -323.80 eV for the cell shown
**DFT formation energy**: 0.35 eV per atom

abc: 5.098 5.098 5.098
angles: 60.00 60.00 60.00
Fractional coordinates of all 6 atoms:
Al1 0.000 0.000 0.000
Re1 0.126 0.625 0.625
Re2 0.625 0.126 0.625
Re3 0.625 0.625 0.126
Re4 0.625 0.625 0.625
Rh1 0.250 0.250 0.250

***

2.
A plane-wave DFT calculation with SCAN was carried out for TiRh3 at its PBEsol-relaxed geometry.

**Electronic total energy**: -120.20 eV for the cell shown
**DFT formation energy**: -0.71 eV per atom

abc: 3.796 3.796 3.796
angles: 90.00 90.00 90.00
Fractional coordinates of all 4 atoms:
Ti1 0.000 0.000 0.000
Rh1 0.000 0.500 0.500
Rh2 0.500 0.000 0.500
Rh3 0.500 0.500 0.000

***

3.
A plane-wave DFT calculation with SCAN was carried out for Ba5Fe5O14 at its PBEsol-relaxed geometry.

**Electronic total energy**: -858.16 eV for the cell shown
**E_form (uncorrected)**: -2.23 eV/atom

abc: 5.665 5.665 23.521
angles: 90.00 90.00 120.04
Fractional coordinates of all 48 atoms:
Ba1 0.026 0.974 0.750
Ba2 0.333 0.667 0.041
Ba3 0.333 0.667 0.459
Ba4 0.341 0.659 0.645
Ba5 0.341 0.659 0.855
Ba6 0.659 0.341 0.145
Ba7 0.659 0.341 0.355
Ba8 0.667 0.333 0.541
Ba9 0.667 0.333 0.959
Ba10 0.974 0.026 0.250
Fe1 0.000 0.000 0.000
Fe2 0.000 0.000 0.500
Fe3 0.006 0.994 0.603
Fe4 0.006 0.994 0.897
Fe5 0.325 0.675 0.179
Fe6 0.325 0.675 0.321
Fe7 0.675 0.325 0.679
Fe8 0.675 0.325 0.821
Fe9 0.994 0.006 0.103
Fe10 0.994 0.006 0.397
O1 0.148 0.293 0.551
O2 0.148 0.293 0.949
O3 0.149 0.851 0.550
O4 0.149 0.851 0.950
O5 0.150 0.850 0.152
O6 0.150 0.850 0.348
O7 0.153 0.335 0.146
O8 0.153 0.335 0.354
O9 0.281 0.719 0.750
O10 0.293 0.148 0.051
O11 0.293 0.148 0.449
O12 0.335 0.153 0.646
O13 0.335 0.153 0.854
O14 0.399 0.601 0.250
O15 0.601 0.399 0.750
O16 0.665 0.847 0.146
O17 0.665 0.847 0.354
O18 0.707 0.852 0.551
O19 0.707 0.852 0.949
O20 0.719 0.281 0.250
O21 0.847 0.665 0.646
O22 0.847 0.665 0.854
O23 0.850 0.150 0.652
O24 0.850 0.150 0.848
O25 0.851 0.149 0.050
O26 0.851 0.149 0.450
O27 0.852 0.707 0.051
O28 0.852 0.707 0.449